Cs2TlAu2 after structural relaxation. Source: the Alexandria database, functional GGA-PBE.

Values from the calculation:
For the excess energy over the best structure of this formula in the dataset, the calculation gives 0 meV/atom. The mass density comes out at 7.54 g cm⁻³. For the formation energy, the calculation gives -1.22 eV per formula unit. The value obtained for the total magnetic moment is 0.00 μB/f.u. As for the space group: C2/c. The uncorrected energy comes out at -23.69 eV per cell.

Cell and atoms, written as extended XYZ:
```
10
Lattice="6.090 -3.581 0.000 6.090 3.581 0.000 -2.228 0.000 8.730" Properties=species:S:1:pos:R:3 pbc="T T T"
Cs 1.464 0.978 1.154
Cs 0.350 -0.978 5.519
Cs 9.603 0.978 3.211
Cs 8.489 -0.978 7.576
Tl 5.534 0.697 2.182
Tl 4.420 -0.697 6.547
Au 3.194 1.033 4.415
Au 4.308 -1.033 0.050
Au 5.646 1.033 8.680
Au 6.759 -1.033 4.315
```